Record 1
Ba2CaCd2 | GGA-PBEsol | optimized geometry

* energy: -1.972 eV per atom
* total magnetic moment: 0.00 Bohr magnetons per cell
* mass density: 4.69 Mg/m³
* energy of formation from the pure elements: -1.037 eV/f.u.

Lattice parameters (Å, degrees): 9.163 9.163 4.547 90.00 90.00 90.00
Fractional coordinates of all 10 atoms:
Ba  0.160  0.340  0.000
Ba  0.340  0.840  0.000
Ba  0.660  0.160  0.000
Ba  0.840  0.660  0.000
Ca  0.000  0.000  0.500
Ca  0.500  0.500  0.500
Cd  0.134  0.634  0.500
Cd  0.366  0.134  0.500
Cd  0.634  0.866  0.500
Cd  0.866  0.366  0.500

Record 2
Ca2Hg2Pb | GGA-PBEsol | optimized geometry

* energy: -2.416 eV per atom
* total magnetic moment: 0.00 Bohr magnetons per cell
* mass density: 8.57 Mg/m³
* energy of formation from the pure elements: -2.680 eV/f.u.

Lattice parameters (Å, degrees): 8.188 8.188 3.980 90.00 90.00 90.00
Fractional coordinates of all 10 atoms:
Ca  0.172  0.328  0.000
Ca  0.328  0.828  0.000
Ca  0.672  0.172  0.000
Ca  0.828  0.672  0.000
Hg  0.126  0.626  0.500
Hg  0.374  0.126  0.500
Hg  0.626  0.874  0.500
Hg  0.874  0.374  0.500
Pb  0.000  0.000  0.500
Pb  0.500  0.500  0.500

Record 3
SrScCr2 | GGA-PBEsol | optimized geometry

* energy: -6.257 eV per atom
* total magnetic moment: 6.34 Bohr magnetons per cell
* mass density: 4.19 Mg/m³
* energy of formation from the pure elements: 3.902 eV/f.u.

Lattice parameters (Å, degrees): 4.734 4.734 6.726 97.49 97.49 38.91
Fractional coordinates of all 4 atoms:
Sr  0.000  0.000  0.000
Sc  0.500  0.500  0.500
Cr  0.245  0.245  0.665
Cr  0.755  0.755  0.335

Record 4
Zr3SiH | GGA-PBEsol | optimized geometry

* energy: -7.755 eV per atom
* total magnetic moment: 0.00 Bohr magnetons per cell
* mass density: 6.37 Mg/m³

Lattice parameters (Å, degrees): 4.290 4.290 4.290 90.00 90.00 90.00
Fractional coordinates of all 5 atoms:
Zr  0.000  0.000  0.500
Zr  0.000  0.500  0.000
Zr  0.500  0.000  0.000
Si  0.500  0.500  0.500
H  0.000  0.000  0.000

Record 5
Ta2AlPt | GGA-PBEsol | optimized geometry

* energy: -9.533 eV per atom
* total magnetic moment: 0.00 Bohr magnetons per cell
* mass density: 15.19 Mg/m³
* energy of formation from the pure elements: -1.975 eV/f.u.

Lattice parameters (Å, degrees): 5.157 5.157 5.157 136.63 136.63 63.00
Fractional coordinates of all 4 atoms:
Ta  0.250  0.750  0.500
Ta  0.750  0.250  0.500
Al  0.000  0.000  0.000
Pt  0.500  0.500  0.000

Record 6
U4Ga12Ni | GGA-PBEsol | optimized geometry

* energy: -5.816 eV per atom
* total magnetic moment: 8.35 Bohr magnetons per cell
* mass density: 10.27 Mg/m³
* energy of formation from the pure elements: -4.004 eV/f.u.

Lattice parameters (Å, degrees): 7.294 7.294 7.294 109.47 109.47 109.47
Fractional coordinates of all 17 atoms:
U  0.000  0.000  0.500
U  0.000  0.500  0.000
U  0.500  0.000  0.000
U  0.500  0.500  0.500
Ga  0.000  0.286  0.286
Ga  0.000  0.714  0.714
Ga  0.250  0.500  0.750
Ga  0.250  0.750  0.500
Ga  0.286  0.000  0.286
Ga  0.286  0.286  0.000
Ga  0.500  0.250  0.750
Ga  0.500  0.750  0.250
Ga  0.714  0.000  0.714
Ga  0.714  0.714  0.000
Ga  0.750  0.250  0.500
Ga  0.750  0.500  0.250
Ni  0.000  0.000  0.000

Record 7
TmCdRh2 | GGA-PBEsol | optimized geometry

* energy: -6.179 eV per atom
* total magnetic moment: 0.00 Bohr magnetons per cell
* mass density: 11.96 Mg/m³
* energy of formation from the pure elements: -2.345 eV/f.u.

Lattice parameters (Å, degrees): 4.573 4.573 4.573 60.00 60.00 60.00
Fractional coordinates of all 4 atoms:
Tm  0.000  0.000  0.000
Cd  0.500  0.500  0.500
Rh  0.250  0.250  0.250
Rh  0.750  0.750  0.750

Record 8
TaSN2F | GGA-PBEsol | optimized geometry

* energy: -7.311 eV per atom
* total magnetic moment: 0.00 Bohr magnetons per cell
* mass density: 6.64 Mg/m³
* energy relative to the elements, uncorrected: -0.6 eV per formula unit

Lattice parameters (Å, degrees): 4.065 4.065 3.937 90.00 90.00 90.00
Fractional coordinates of all 5 atoms:
Ta  0.000  0.000  0.000
S  0.500  0.500  0.500
N  0.000  0.500  0.000
N  0.500  0.000  0.000
F  0.000  0.000  0.500

Record 9
AgPt2 | GGA-PBEsol | optimized geometry

* energy: -5.697 eV per atom
* total magnetic moment: 0.00 Bohr magnetons per cell
* mass density: 17.98 Mg/m³
* energy of formation from the pure elements: 0.148 eV/f.u.

Lattice parameters (Å, degrees): 12.117 12.117 12.117 161.23 161.23 26.66
Fractional coordinates of all 12 atoms:
Ag  0.291  0.541  0.750
Ag  0.459  0.709  0.750
Ag  0.541  0.291  0.250
Ag  0.709  0.459  0.250
Pt  0.042  0.792  0.250
Pt  0.125  0.375  0.750
Pt  0.208  0.958  0.250
Pt  0.375  0.125  0.250
Pt  0.625  0.875  0.750
Pt  0.792  0.042  0.750
Pt  0.875  0.625  0.250
Pt  0.958  0.208  0.750

Record 10
Rb3NbCo | GGA-PBEsol | optimized geometry

* energy: -2.501 eV per atom
* total magnetic moment: 6.60 Bohr magnetons per cell
* mass density: 2.80 Mg/m³
* energy of formation from the pure elements: 9.130 eV/f.u.

Lattice parameters (Å, degrees): 6.234 6.234 6.234 90.00 90.00 90.00
Fractional coordinates of all 5 atoms:
Rb  0.000  0.000  0.500
Rb  0.000  0.500  0.000
Rb  0.500  0.000  0.000
Nb  0.500  0.500  0.500
Co  0.000  0.000  0.000

Record 11
Al2CrAg | GGA-PBEsol | optimized geometry

* energy: -5.382 eV per atom
* total magnetic moment: 2.86 Bohr magnetons per cell
* mass density: 5.92 Mg/m³
* energy of formation from the pure elements: 0.209 eV/f.u.

Lattice parameters (Å, degrees): 4.914 4.914 4.914 134.24 134.24 66.71
Fractional coordinates of all 4 atoms:
Al  0.000  0.000  0.000
Al  0.750  0.250  0.500
Cr  0.500  0.500  0.000
Ag  0.250  0.750  0.500

Record 12
BeTcP2 | GGA-PBEsol | optimized geometry

* energy: -6.834 eV per atom
* total magnetic moment: 0.00 Bohr magnetons per cell
* mass density: 5.74 Mg/m³
* energy of formation from the pure elements: -0.486 eV/f.u.

Lattice parameters (Å, degrees): 2.996 2.974 5.574 90.00 100.45 90.00
Fractional coordinates of all 4 atoms:
Be  0.000  0.000  0.000
Tc  0.000  0.000  0.500
P  0.417  0.500  0.250
P  0.583  0.500  0.750